{
  "formula": "U5Al2S12",
  "functional": "GGA-PBE",
  "state": "optimized geometry",
  "volume_a3_per_atom": 22.7,
  "e_tot_ev_per_atom": -7.23,
  "magnetic_moment_mub_per_cell": 7.51,
  "e_form_raw_ev_per_atom": -1.26,
  "lattice_angstrom": [[7.6595, -3.4651, 0.0000], [7.6595, 3.4651, 0.0000], [-2.3716, 0.0000, 8.1091]],
  "species": ["U", "U", "U", "U", "U", "Al", "Al", "S", "S", "S", "S", "S", "S", "S", "S", "S", "S", "S", "S"],
  "fractional_positions": [[0.0000, 0.0000, 0.0000], [0.2995, 0.2995, 0.1473], [0.3095, 0.3095, 0.6564], [0.6905, 0.6905, 0.3436], [0.7005, 0.7005, 0.8527], [0.2513, 0.7487, 0.5000], [0.7487, 0.2513, 0.5000], [0.0025, 0.0025, 0.3101], [0.0874, 0.5805, 0.4125], [0.0982, 0.6015, 0.9299], [0.3985, 0.9018, 0.0701], [0.4195, 0.9126, 0.5875], [0.4984, 0.4984, 0.2994], [0.5016, 0.5016, 0.7006], [0.5805, 0.0874, 0.4125], [0.6015, 0.0982, 0.9299], [0.9018, 0.3985, 0.0701], [0.9126, 0.4195, 0.5875], [0.9975, 0.9975, 0.6899]]
}